Material: P2PbS2
Method: DFT, GGA-PBE
State: optimized geometry

Unit cell a=5.158 b=5.158 c=5.334 alpha=90.00 beta=90.00 gamma=90.00
Sites, in units of the cell vectors:
P: 0.000 0.000 0.000
P: 0.500 0.500 0.000
Pb: 0.000 0.000 0.500
S: 0.000 0.500 0.500
S: 0.500 0.000 0.500

Calculated values
energy relative to the elements, uncorrected = 1.433 eV/atom
distance to the lowest polymorph of the same formula = 1141 meV per atom
crystal system = tetragonal



Material: Ho5MgCd4
Method: DFT, GGA-PBE
State: optimized geometry

Unit cell a=3.744 b=3.744 c=18.622 alpha=90.00 beta=90.00 gamma=90.00
Sites, in units of the cell vectors:
Ho: 0.000 0.000 0.000
Ho: 0.000 0.000 0.199
Ho: 0.000 0.000 0.399
Ho: 0.000 0.000 0.601
Ho: 0.000 0.000 0.801
Mg: 0.500 0.500 0.500
Cd: 0.500 0.500 0.100
Cd: 0.500 0.500 0.301
Cd: 0.500 0.500 0.699
Cd: 0.500 0.500 0.900

Calculated values
crystal system = tetragonal



Material: Ga3Ni2Ru2
Method: DFT, GGA-PBE
State: optimized geometry

Unit cell a=10.817 b=10.817 c=2.965 alpha=90.00 beta=90.00 gamma=164.13
Sites, in units of the cell vectors:
Ga: 0.000 0.000 0.000
Ga: 0.146 0.854 0.000
Ga: 0.854 0.146 0.000
Ni: 0.295 0.705 0.500
Ni: 0.705 0.295 0.500
Ru: 0.428 0.572 0.500
Ru: 0.572 0.428 0.500

Calculated values
crystal system = orthorhombic



Material: Te2PdPbN
Method: DFT, GGA-PBE
State: optimized geometry

Unit cell a=5.751 b=5.751 c=3.748 alpha=90.00 beta=90.00 gamma=90.00
Sites, in units of the cell vectors:
Te: 0.000 0.500 0.000
Te: 0.500 0.000 0.000
Pd: 0.000 0.000 0.000
Pb: 0.500 0.500 0.500
N: 0.000 0.000 0.500

Calculated values
energy relative to the elements, uncorrected = 0.434 eV/atom
distance to the lowest polymorph of the same formula = 0 meV per atom
crystal system = tetragonal



Material: RbCrCuCl6
Method: DFT, GGA-PBE
State: optimized geometry

Unit cell a=6.295 b=6.295 c=7.392 alpha=90.00 beta=90.00 gamma=120.00
Sites, in units of the cell vectors:
Rb: 0.000 0.000 0.000
Cr: 0.667 0.333 0.500
Cu: 0.333 0.667 0.500
Cl: 0.377 0.013 0.682
Cl: 0.377 0.364 0.318
Cl: 0.636 0.013 0.318
Cl: 0.636 0.623 0.682
Cl: 0.987 0.364 0.682
Cl: 0.987 0.623 0.318

Calculated values
energy relative to the elements, uncorrected = -1.087 eV/atom
crystal system = trigonal



Material: RbAcSi2O6
Method: DFT, GGA-PBE
State: optimized geometry

Unit cell a=7.681 b=7.681 c=5.339 alpha=94.90 beta=94.90 gamma=90.92
Sites, in units of the cell vectors:
Rb: 0.157 0.843 0.750
Rb: 0.843 0.157 0.250
Ac: 0.372 0.628 0.250
Ac: 0.628 0.372 0.750
Si: 0.144 0.305 0.778
Si: 0.305 0.144 0.278
Si: 0.695 0.856 0.722
Si: 0.856 0.695 0.222
O: 0.058 0.642 0.259
O: 0.169 0.185 0.027
O: 0.185 0.169 0.527
O: 0.297 0.459 0.818
O: 0.358 0.942 0.241
O: 0.459 0.297 0.318
O: 0.541 0.703 0.682
O: 0.642 0.058 0.759
O: 0.703 0.541 0.182
O: 0.815 0.831 0.473
O: 0.831 0.815 0.973
O: 0.942 0.358 0.741

Calculated values
energy relative to the elements, uncorrected = -2.844 eV/atom
crystal system = monoclinic



Material: CuSiMo2
Method: DFT, GGA-PBE
State: optimized geometry

Unit cell a=4.847 b=4.847 c=4.847 alpha=140.49 beta=128.29 gamma=66.98
Sites, in units of the cell vectors:
Cu: 0.000 0.000 0.000
Si: 0.784 0.284 0.500
Mo: 0.267 0.767 0.500
Mo: 0.531 0.531 0.000

Calculated values
energy relative to the elements, uncorrected = -0.054 eV/atom
crystal system = orthorhombic



Material: Pu2ZrPa
Method: DFT, GGA-PBE
State: optimized geometry

Unit cell a=3.828 b=3.828 c=6.501 alpha=90.00 beta=90.00 gamma=90.00
Sites, in units of the cell vectors:
Pu: 0.000 0.000 0.245
Pu: 0.000 0.000 0.755
Zr: 0.500 0.500 0.500
Pa: 0.500 0.500 0.000

Calculated values
distance to the lowest polymorph of the same formula = 87 meV per atom
crystal system = tetragonal



Material: ErAlZnS4
Method: DFT, GGA-PBE
State: optimized geometry

Unit cell a=7.468 b=7.468 c=7.468 alpha=120.33 beta=119.76 gamma=89.93
Sites, in units of the cell vectors:
Er: 0.000 0.000 0.000
Er: 0.500 0.000 0.500
Al: 0.500 0.000 0.000
Al: 0.500 0.500 0.500
Zn: 0.128 0.378 0.750
Zn: 0.872 0.622 0.250
S: 0.267 0.269 0.502
S: 0.267 0.765 0.998
S: 0.272 0.746 0.527
S: 0.281 0.254 0.027
S: 0.719 0.746 0.973
S: 0.728 0.254 0.473
S: 0.733 0.235 0.002
S: 0.733 0.731 0.498

Calculated values
energy relative to the elements, uncorrected = -1.274 eV/atom
crystal system = orthorhombic



Material: SrLa2Bi2
Method: DFT, GGA-PBE
State: optimized geometry

Unit cell a=7.159 b=7.159 c=7.159 alpha=128.85 beta=128.85 gamma=75.25
Sites, in units of the cell vectors:
Sr: 0.000 0.000 0.000
La: 0.326 0.326 0.000
La: 0.674 0.674 0.000
Bi: 0.250 0.750 0.500
Bi: 0.750 0.250 0.500

Calculated values
distance to the lowest polymorph of the same formula = 336 meV per atom
crystal system = tetragonal



Material: YHo7Tm2
Method: DFT, GGA-PBE
State: optimized geometry

Unit cell a=9.326 b=9.326 c=5.375 alpha=90.00 beta=90.00 gamma=124.51
Sites, in units of the cell vectors:
Y: 0.000 0.000 0.000
Ho: 0.065 0.290 0.500
Ho: 0.204 0.796 0.000
Ho: 0.290 0.065 0.500
Ho: 0.500 0.500 0.500
Ho: 0.710 0.935 0.500
Ho: 0.796 0.204 0.000
Ho: 0.935 0.710 0.500
Tm: 0.298 0.702 0.500
Tm: 0.702 0.298 0.500

Calculated values
distance to the lowest polymorph of the same formula = 652 meV per atom
crystal system = orthorhombic



Material: LaSi2SnW
Method: DFT, GGA-PBE
State: optimized geometry

Unit cell a=4.840 b=4.840 c=5.439 alpha=90.00 beta=90.00 gamma=90.00
Sites, in units of the cell vectors:
La: 0.000 0.000 0.000
Si: 0.000 0.500 0.500
Si: 0.500 0.000 0.500
Sn: 0.500 0.500 0.000
W: 0.000 0.000 0.500

Calculated values
energy relative to the elements, uncorrected = 0.343 eV/atom
crystal system = tetragonal



Number 1: calculated density 3.90 g/cm3, VASP energy -3.124 eV/atom. Number 2: calculated density 8.26 g/cm3, VASP energy -3.082 eV/atom. Number 3: calculated density 9.26 g/cm3, VASP energy -5.777 eV/atom. Number 4: calculated density 7.81 g/cm3, VASP energy -4.268 eV/atom. Number 5: calculated density 2.71 g/cm3, VASP energy -3.950 eV/atom. Number 6: calculated density 4.94 g/cm3, VASP energy -7.411 eV/atom. Number 7: calculated density 8.41 g/cm3, VASP energy -7.850 eV/atom. Number 8: calculated density 14.12 g/cm3, VASP energy -11.458 eV/atom. Number 9: calculated density 4.38 g/cm3, VASP energy -5.001 eV/atom. Number 10: calculated density 6.01 g/cm3, VASP energy -4.382 eV/atom. Number 11: calculated density 6.81 g/cm3, VASP energy -4.043 eV/atom. Number 12: calculated density 6.49 g/cm3, VASP energy -6.203 eV/atom.